{
  "formula": "Rb3La3UTe8",
  "functional": "PBE-GGA",
  "state": "relaxed",
  "cell": [[-1.042, -3.173, 8.733], [-6.132, -2.427, -6.628], [9.275, -4.254, -0.438]],
  "species": ["U", "Te", "La", "La", "Rb", "Te", "Te", "Te", "Rb", "Te", "Rb", "Te", "Te", "La", "Te"],
  "frac_coords": [[0.000, 0.000, 0.500], [0.265, 0.529, 0.293], [0.000, 0.500, 0.500], [0.500, 0.000, 0.500], [0.500, 0.500, 0.000], [0.225, 0.972, 0.697], [0.735, 0.471, 0.707], [0.775, 0.028, 0.303], [0.000, 0.500, 0.000], [0.775, 0.549, 0.303], [0.000, 0.000, 0.000], [0.254, 0.028, 0.303], [0.225, 0.451, 0.697], [0.500, 0.500, 0.500], [0.746, 0.972, 0.697]],
  "magnetic_moment_mub_per_atom": 0.133,
  "vol_a3_per_cell": 656,
  "space_group": "No. 12",
  "raw_formation_energy_ev_per_atom": -1.31
}